No. 1
A plane-wave DFT calculation with PBE was carried out for a relaxed structure of Sr2Ga2F.

Cell and atoms, written as POSCAR:
```
Sr2Ga2F
1.0
-1.922 1.922 8.944
1.922 -1.922 8.944
1.922 1.922 -8.944
Sr Ga F
2 2 1
direct
0.102 0.102 0.000 Sr
0.898 0.898 0.000 Sr
0.250 0.750 0.500 Ga
0.750 0.250 0.500 Ga
0.500 0.500 0.000 F
```

Calculated values
* offset from the most stable computed form: 203 meV/atom
* raw total energy: -3.1701 eV/atom
* total moment: 0.000 μB per atom
* formation energy from raw total energies: -0.912 eV per atom

***

No. 2
A plane-wave DFT calculation with PBE was carried out for a relaxed structure of KTa2CrAu.

Cell and atoms, written as POSCAR:
```
KTa2CrAu
1.0
4.671 0.000 0.000
0.000 4.671 0.000
0.000 0.000 4.136
K Ta Cr Au
1 2 1 1
direct
0.000 0.000 0.000 K
0.000 0.500 0.000 Ta
0.500 0.000 0.000 Ta
0.000 0.000 0.500 Cr
0.500 0.500 0.500 Au
```

Calculated values
* raw total energy: -4.7878 eV/atom
* energy of formation from the pure elements: 2.753 eV/atom
* total moment: 0.101 μB per atom

***

No. 3
A plane-wave DFT calculation with PBE was carried out for a relaxed structure of GaSbW3.

Cell and atoms, written as POSCAR:
```
GaSbW3
1.0
4.641 0.000 0.000
0.000 4.641 0.000
0.000 0.000 4.641
Ga Sb W
1 1 3
direct
0.000 0.000 0.000 Ga
0.500 0.500 0.500 Sb
0.000 0.000 0.500 W
0.000 0.500 0.000 W
0.500 0.000 0.000 W
```

Calculated values
* offset from the most stable computed form: 0 meV/atom
* raw total energy: -7.3744 eV/atom
* total moment: 0.000 μB per atom
* formation energy from raw total energies: 1.827 eV per atom

***

No. 4
A plane-wave DFT calculation with PBE was carried out for a relaxed structure of Ni2MoAu.

Cell and atoms, written as POSCAR:
```
Ni2MoAu
1.0
-3.356 3.356 2.693
3.356 -3.356 2.693
3.356 3.356 -2.693
Ni Mo Au
4 2 2
direct
0.105 0.125 0.480 Ni
0.375 0.895 0.020 Ni
0.645 0.625 0.520 Ni
0.875 0.355 0.980 Ni
0.000 0.000 0.000 Mo
0.750 0.250 0.500 Mo
0.250 0.750 0.500 Au
0.500 0.500 0.000 Au
```

Calculated values
* raw total energy: -5.8444 eV/atom
* energy of formation from the pure elements: 0.573 eV/atom
* total moment: 0.000 μB per atom

***

No. 5
A plane-wave DFT calculation with PBE was carried out for a relaxed structure of Co3HgBr9.

Cell and atoms, written as POSCAR:
```
Co3HgBr9
1.0
10.043 -4.487 0.000
10.043 4.487 0.000
-9.755 0.000 10.167
Co Hg Br
6 2 18
direct
0.053 0.348 0.607 Co
0.122 0.546 0.117 Co
0.135 0.865 0.500 Co
0.348 0.053 0.107 Co
0.546 0.122 0.617 Co
0.865 0.135 0.000 Co
0.654 0.781 0.840 Hg
0.781 0.654 0.340 Hg
0.053 0.833 0.285 Br
0.060 0.726 0.521 Br
0.175 0.985 0.101 Br
0.242 0.365 0.223 Br
0.319 0.491 0.068 Br
0.342 0.950 0.901 Br
0.365 0.242 0.723 Br
0.447 0.725 0.583 Br
0.491 0.319 0.568 Br
0.528 0.858 0.440 Br
0.630 0.933 0.249 Br
0.725 0.447 0.083 Br
0.726 0.060 0.021 Br
0.833 0.053 0.785 Br
0.858 0.528 0.940 Br
0.933 0.630 0.749 Br
0.950 0.342 0.401 Br
0.985 0.175 0.601 Br
```

Calculated values
* raw total energy: -3.1084 eV/atom
* total moment: 0.770 μB per atom
* formation energy from raw total energies: -0.287 eV per atom

***

No. 6
A plane-wave DFT calculation with PBE was carried out for a relaxed structure of TlFe3Hg.

Cell and atoms, written as POSCAR:
```
TlFe3Hg
1.0
4.907 0.000 0.000
0.000 4.907 0.000
0.000 0.000 4.907
Tl Fe Hg
1 3 1
direct
0.000 0.000 0.000 Tl
0.000 0.500 0.500 Fe
0.500 0.000 0.500 Fe
0.500 0.500 0.000 Fe
0.500 0.500 0.500 Hg
```

Calculated values
* offset from the most stable computed form: 0 meV/atom
* raw total energy: -4.2195 eV/atom
* energy of formation from the pure elements: 1.392 eV/atom
* total moment: 1.866 μB per atom

***

Calculated values (Å³/cell) of calculated volume for the records, taken in order: 132.14; 90.26; 99.97; 121.32; 916.20; 118.15.